# GGA-PBE NaLa4Tb3Se8, optimized geometry
data_NaLa4Tb3Se8
_space_group_name_H-M_alt 'P 1'
_space_group_IT_number 1
_space_group_name_Hall 'P 1'
_cell_length_a 8.440
_cell_length_b 8.440
_cell_length_c 8.440
_cell_angle_alpha 59.93
_cell_angle_beta 59.93
_cell_angle_gamma 59.93
loop_
_atom_site_label
_atom_site_fract_x
_atom_site_fract_y
_atom_site_fract_z
Na1 0.000 0.000 0.000
La1 0.000 0.000 0.500
La2 0.000 0.500 0.000
La3 0.500 0.000 0.000
La4 0.500 0.500 0.500
Tb1 0.000 0.500 0.500
Tb2 0.500 0.000 0.500
Tb3 0.500 0.500 0.000
Se1 0.245 0.245 0.743
Se2 0.245 0.743 0.245
Se3 0.255 0.255 0.255
Se4 0.257 0.755 0.755
Se5 0.743 0.245 0.245
Se6 0.745 0.745 0.745
Se7 0.755 0.257 0.755
Se8 0.755 0.755 0.257
# magnetic moment	0.00	μB/f.u.
# VASP energy	-92.4	eV/f.u.
# space-group type	No. 166